Compound: NdHoHg3
Source: the Alexandria database
Functional: PBE
Structure: optimized geometry

Offset from the most stable computed form in meV/atom: 177
Final energy in eV per atom: -2.298
Calculated formation energy in eV/atom: -0.2477
Size of the total moment in μB/cell: 0.0

Unit cell a=6.7304 b=7.0621 c=7.0621 alpha=120.00 beta=90.00 gamma=90.00
With the nearest neighbours (Å) after each atom.
Fractional coordinates of all 10 atoms:
1 Nd 0.2500 0.3335 0.6665  12 Hg 3.55-3.75
2 Nd 0.7500 0.6665 0.3335  12 Hg 3.55-3.75
3 Ho 0.0000 0.0000 0.0000  6 Hg 2.95
4 Ho 0.5000 0.0000 0.0000  6 Hg 2.95
5 Hg 0.2500 0.8019 0.1981  2 Hg 2.87, 2 Ho 2.95
6 Hg 0.7500 0.1981 0.8019  2 Hg 2.87, 2 Ho 2.95
7 Hg 0.2500 0.8018 0.6039  2 Hg 2.87, 2 Ho 2.95
8 Hg 0.7500 0.1982 0.3961  2 Hg 2.87, 2 Ho 2.95
9 Hg 0.2500 0.3961 0.1982  2 Hg 2.87, 2 Ho 2.95
10 Hg 0.7500 0.6039 0.8018  2 Hg 2.87, 2 Ho 2.95



Compound: NdHo5Hg6
Source: the Alexandria database
Functional: PBE
Structure: optimized geometry

Final energy in eV per atom: -2.930
Calculated formation energy in eV/atom: -0.4745
Size of the total moment in μB/cell: 0.6

Unit cell a=5.2437 b=7.4972 c=8.3441 alpha=90.00 beta=71.69 gamma=90.00
With the nearest neighbours (Å) after each atom.
Fractional coordinates of all 12 atoms:
1 Nd 0.0000 0.0000 0.0000  8 Hg 3.26-3.32
2 Ho 0.6644 0.5000 0.6713  8 Hg 3.17-3.20
3 Ho 0.3318 0.0000 0.3365  8 Hg 3.20-3.29
4 Ho 0.0000 0.5000 0.0000  8 Hg 3.19-3.26
5 Ho 0.6682 0.0000 0.6635  8 Hg 3.20-3.29
6 Ho 0.3356 0.5000 0.3287  8 Hg 3.17-3.20
7 Hg 0.8296 0.7432 0.3408  7 Ho 3.19-3.26, 1 Nd 3.32
8 Hg 0.8296 0.2568 0.3408  7 Ho 3.19-3.26, 1 Nd 3.32
9 Hg 0.5000 0.2578 0.0000  6 Ho 3.17-3.29, 2 Nd 3.26
10 Hg 0.5000 0.7422 0.0000  6 Ho 3.17-3.29, 2 Nd 3.26
11 Hg 0.1704 0.7432 0.6592  7 Ho 3.19-3.26, 1 Nd 3.32
12 Hg 0.1704 0.2568 0.6592  7 Ho 3.19-3.26, 1 Nd 3.32



Compound: NdHo2Hg5
Source: the Alexandria database
Functional: PBE
Structure: optimized geometry

Final energy in eV per atom: -2.369
Calculated formation energy in eV/atom: -0.4396
Size of the total moment in μB/cell: 0.0

Unit cell a=5.2436 b=5.2436 c=8.2298 alpha=108.58 beta=108.58 gamma=90.00
With the nearest neighbours (Å) after each atom.
Fractional coordinates of all 8 atoms:
1 Nd 0.0000 0.0000 0.0000  8 Hg 3.24
2 Ho 0.7333 0.7333 0.4667  8 Hg 3.04-3.31
3 Ho 0.2667 0.2667 0.5333  8 Hg 3.04-3.31
4 Hg 0.5000 0.5000 0.0000  8 Hg 3.24, 2 Ho 3.43
5 Hg 0.8710 0.3710 0.7420  4 Ho 3.04-3.31, 2 Hg 3.24, 2 Nd 3.24
6 Hg 0.3710 0.8710 0.7420  4 Ho 3.04-3.31, 2 Nd 3.24, 2 Hg 3.24
7 Hg 0.1290 0.6290 0.2580  4 Ho 3.04-3.31, 2 Hg 3.24, 2 Nd 3.24
8 Hg 0.6290 0.1290 0.2580  4 Ho 3.04-3.31, 2 Nd 3.24, 2 Hg 3.24



Compound: NdHo8Hg2
Source: the Alexandria database
Functional: PBE
Structure: optimized geometry

Final energy in eV per atom: -3.864
Calculated formation energy in eV/atom: -0.0463
Size of the total moment in μB/cell: 0.0

Unit cell a=5.5313 b=8.6092 c=8.6092 alpha=118.59 beta=100.23 gamma=100.23
With the nearest neighbours (Å) after each atom.
Fractional coordinates of all 11 atoms:
1 Nd 0.5000 0.0000 0.0000  12 Ho 3.31-3.69
2 Ho 0.8913 0.9082 0.6784  2 Hg 3.07-3.31, 2 Ho 3.40-3.41
3 Ho 0.8913 0.6784 0.9082  2 Hg 3.07-3.31, 2 Ho 3.40-3.41
4 Ho 0.2976 0.5986 0.5986  2 Ho 3.14-3.27, 2 Hg 3.27, 1 Nd 3.31
5 Ho 0.5000 0.7733 0.2267  2 Hg 3.01, 1 Nd 3.36
6 Ho 0.5000 0.2267 0.7733  2 Hg 3.01, 1 Nd 3.36
7 Ho 0.7024 0.4014 0.4014  2 Ho 3.14-3.27, 2 Hg 3.27, 1 Nd 3.31
8 Ho 0.1087 0.3216 0.0918  2 Hg 3.07-3.31, 2 Ho 3.40-3.41
9 Ho 0.1087 0.0918 0.3216  2 Hg 3.07-3.31, 2 Ho 3.40-3.41
10 Hg 0.0000 0.3065 0.6935  8 Ho 3.01-3.31
11 Hg 0.0000 0.6935 0.3065  8 Ho 3.01-3.31



Compound: Nd4HoHg
Source: the Alexandria database
Functional: PBE
Structure: optimized geometry

Offset from the most stable computed form in meV/atom: 0
Final energy in eV per atom: -4.137
Calculated formation energy in eV/atom: -0.1449
Size of the total moment in μB/cell: 0.0

Unit cell a=3.6951 b=3.6951 c=14.1761 alpha=90.00 beta=90.00 gamma=90.00
With the nearest neighbours (Å) after each atom.
Fractional coordinates of all 6 atoms:
1 Nd 0.5000 0.5000 0.1751  4 Ho 3.60, 8 Nd 3.66-3.70
2 Nd 0.0000 0.0000 0.6444  4 Hg 3.32, 8 Nd 3.66-3.70
3 Nd 0.0000 0.0000 0.3556  4 Hg 3.32, 8 Nd 3.66-3.70
4 Nd 0.5000 0.5000 0.8249  4 Ho 3.60, 8 Nd 3.66-3.70
5 Ho 0.0000 0.0000 0.0000  8 Nd 3.60, 4 Ho 3.70
6 Hg 0.5000 0.5000 0.5000  8 Nd 3.32, 4 Hg 3.70



Compound: Nd2Ho2Hg3
Source: the Alexandria database
Functional: PBE
Structure: optimized geometry

Final energy in eV per atom: -3.119
Calculated formation energy in eV/atom: -0.3196
Size of the total moment in μB/cell: 0.9

Unit cell a=5.2244 b=5.2252 c=9.1227 alpha=90.00 beta=106.64 gamma=119.99
With the nearest neighbours (Å) after each atom.
Fractional coordinates of all 7 atoms:
1 Nd 0.2550 0.1278 0.3823  5 Hg 3.25-3.29, 3 Nd 3.63-3.64
2 Nd 0.7450 0.8722 0.6177  5 Hg 3.25-3.29, 3 Nd 3.63-3.64
3 Ho 0.7542 0.3773 0.1312  7 Hg 3.16-3.22
4 Ho 0.2458 0.6227 0.8688  7 Hg 3.16-3.22
5 Hg 0.0000 0.0000 0.0000  6 Ho 3.22, 2 Nd 3.29
6 Hg 0.5064 0.2529 0.7599  4 Ho 3.16-3.20, 4 Nd 3.25-3.26
7 Hg 0.4936 0.7471 0.2401  4 Ho 3.16-3.20, 4 Nd 3.25-3.26



Compound: Nd3HoHg3
Source: the Alexandria database
Functional: PBE
Structure: optimized geometry

Final energy in eV per atom: -3.138
Calculated formation energy in eV/atom: -0.3115
Size of the total moment in μB/cell: 0.9

Unit cell a=7.4862 b=7.4862 c=7.4260 alpha=89.97 beta=89.97 gamma=86.94
With the nearest neighbours (Å) after each atom.
Fractional coordinates of all 14 atoms:
1 Nd 0.7232 0.7232 0.5003  6 Hg 3.24-3.45, 2 Nd 3.49
2 Nd 0.2559 0.7441 0.5000  6 Hg 3.13-3.35, 2 Nd 3.49
3 Nd 0.7441 0.2559 0.5000  6 Hg 3.13-3.35, 2 Nd 3.49
4 Nd 0.3114 0.6886 0.0000  4 Hg 3.30
5 Nd 0.6886 0.3114 0.0000  4 Hg 3.30
6 Nd 0.2768 0.2768 0.4997  6 Hg 3.24-3.45, 2 Nd 3.49
7 Ho 0.7919 0.7919 0.0001  6 Hg 3.04-3.15
8 Ho 0.2081 0.2081 0.9999  6 Hg 3.04-3.15
9 Hg 0.9999 0.9999 0.2737  2 Ho 3.04, 2 Nd 3.13, 1 Hg 3.36
10 Hg 0.0001 0.5001 0.7626  2 Ho 3.15, 6 Nd 3.24-3.35, 1 Hg 3.53
11 Hg 0.5001 0.0001 0.7626  2 Ho 3.15, 6 Nd 3.24-3.35, 1 Hg 3.53
12 Hg 0.9999 0.4999 0.2374  2 Ho 3.15, 6 Nd 3.24-3.35, 1 Hg 3.53
13 Hg 0.4999 0.9999 0.2374  2 Ho 3.15, 6 Nd 3.24-3.35, 1 Hg 3.53
14 Hg 0.0001 0.0001 0.7263  2 Ho 3.04, 2 Nd 3.13, 1 Hg 3.36



Compound: Nd2HoHg5
Source: the Alexandria database
Functional: PBE
Structure: optimized geometry

Final energy in eV per atom: -2.362
Calculated formation energy in eV/atom: -0.4097
Size of the total moment in μB/cell: 0.2

Unit cell a=5.2200 b=5.2200 c=8.4390 alpha=108.02 beta=108.02 gamma=90.00
With the nearest neighbours (Å) after each atom.
Fractional coordinates of all 8 atoms:
1 Nd 0.7361 0.7361 0.4723  8 Hg 3.17-3.43
2 Nd 0.2639 0.2639 0.5277  8 Hg 3.17-3.43
3 Ho 0.0000 0.0000 0.0000  8 Hg 3.16
4 Hg 0.5000 0.5000 0.0000  8 Hg 3.16
5 Hg 0.8827 0.3827 0.7654  2 Ho 3.16, 2 Hg 3.16, 4 Nd 3.17-3.43
6 Hg 0.3827 0.8827 0.7654  2 Hg 3.16, 2 Ho 3.16, 4 Nd 3.17-3.43
7 Hg 0.1173 0.6173 0.2346  2 Ho 3.16, 2 Hg 3.16, 4 Nd 3.17-3.43
8 Hg 0.6173 0.1173 0.2346  2 Hg 3.16, 2 Ho 3.16, 4 Nd 3.17-3.43



What is the size of the total moment in the sixth record? 0.9 μB/cell



calculated formation energy of number 1 (NdHoHg3)? -0.2477 eV/atom